## Ti3PtN (PBE-GGA)

Data for crystalline Ti3PtN at its relaxed geometry.

Values from the calculation:
total magnetization: 0.00 μB per atom
crystal system: orthorhombic
symmetry: Imma (74)
ΔE_f (raw): -1.158 eV per atom

Unit cell a=4.1287 b=8.6724 c=4.0823 alpha=76.40 beta=90.02 gamma=76.23
With the nearest neighbours (Å) after each atom.
Fractional positions:
1 N 0.9702 0.7208 0.9286  6 Ti 2.05-2.10
2 N 0.8328 0.9960 0.2913  6 Ti 2.05-2.10
3 Pt 0.2121 0.2370 0.6709  10 Ti 2.79-2.96, 2 Pt 2.86
4 Pt 0.5909 0.4798 0.5490  10 Ti 2.79-2.96, 2 Pt 2.86
5 Ti 0.9612 0.7387 0.4198  3 N 2.05-2.10
6 Ti 0.3302 0.0012 0.2884  2 N 2.06
7 Ti 0.0961 0.4693 0.0543  1 N 2.06
8 Ti 0.7069 0.2475 0.1657  1 N 2.06
9 Ti 0.8417 0.9781 0.8001  3 N 2.05-2.10
10 Ti 0.4728 0.7156 0.9316  2 N 2.06